# Li4Ge2As, optimized geometry, DFT GGA-PBE
# formation energy = -0.09 eV per atom
# N(E_F) = 3.80 states/eV/f.u.
# ρ = 2668 kg/m³
# magnetization = 0.0 μB per formula unit
data_Li4Ge2As
_chemical_formula_sum 'Li8 Ge4 As2'
_symmetry_space_group_name_H-M 'I 4/m m m'
_symmetry_Int_Tables_number 139
_symmetry_space_group_name_Hall '-I 4 2'
_cell_length_a 4.967
_cell_length_b 4.967
_cell_length_c 12.511
_cell_angle_alpha 90.00
_cell_angle_beta 90.00
_cell_angle_gamma 90.00
loop_
_atom_site_label
_atom_site_type_symbol
_atom_site_fract_x
_atom_site_fract_y
_atom_site_fract_z
Li1 Li 0.000 0.000 0.198
Li2 Li 0.000 0.500 0.000
Ge1 Ge 0.000 0.000 0.404
As1 As 0.000 0.000 0.000